(1)
Ac2Tb3Mg2 (GGA-PBE, optimized geometry); size of the total moment = 0.0 μB per formula unit; DOS(E_F) = 18.52 states/eV per cell; symmetry = Cmmm, No. 65
1.0
3.759 0.000 0.000
0.000 33.802 0.000
0.000 0.000 3.730
Ac Tb Mg
4 6 4
Direct
0.000 0.199 0.000
0.000 0.801 0.000
0.500 0.301 0.000
0.500 0.699 0.000
0.000 0.069 0.000
0.000 0.500 0.500
0.000 0.931 0.000
0.500 0.000 0.500
0.500 0.431 0.000
0.500 0.569 0.000
0.000 0.372 0.500
0.000 0.628 0.500
0.500 0.128 0.500
0.500 0.872 0.500

***

(2)
AcTbMg (GGA-PBE, optimized geometry); energy above the lowest structure with this stoichiometry = 0.1023 eV per atom; size of the total moment = 0.0 μB per formula unit; DOS(E_F) = 3.22 states/eV per cell; symmetry = P3m1, No. 156
1.0
5.668 0.000 0.000
-2.834 4.909 0.000
0.000 0.000 3.620
Ac Tb Mg
1 1 1
Direct
0.000 0.000 0.000
0.667 0.333 0.545
0.333 0.667 0.399

***

| no. | final energy (eV per atom) | ΔE_f (meV/atom) |
| --- | --- | --- |
| 1 | -3.573 | 41 |
| 2 | -3.376 | 68 |